[1]
Material: ZnSbAs
Method: DFT, PBE
State: optimized geometry

Lattice parameters (Å, degrees): 4.076 5.256 11.965 90.00 90.00 90.00
Fractional coordinates of all 12 atoms:
Zn 0.000 0.000 0.000
Zn 0.000 0.500 0.500
Zn 0.500 0.000 0.500
Zn 0.500 0.500 0.000
Sb 0.000 0.000 0.676
Sb 0.000 0.500 0.176
Sb 0.500 0.000 0.176
Sb 0.500 0.500 0.676
As 0.000 0.000 0.368
As 0.000 0.500 0.868
As 0.500 0.000 0.868
As 0.500 0.500 0.368

**Relative energy among the computed polymorphs**: 0.326 eV/f.u.
**DFT total energy**: -3.1098 eV/atom
**Space group**: Fmm2 (42)
**Fermi-level density of states**: 1.2 states/eV/f.u.
**Formation energy (no corrections)**: 0.239 eV per atom

***

[2]
Material: ZnSb2As2
Method: DFT, PBE
State: optimized geometry

Lattice parameters (Å, degrees): 4.965 4.965 12.244 90.00 90.00 90.00
Fractional coordinates of all 10 atoms:
Zn 0.000 0.000 0.000
Zn 0.500 0.500 0.500
Sb 0.000 0.000 0.358
Sb 0.000 0.000 0.642
Sb 0.500 0.500 0.142
Sb 0.500 0.500 0.858
As 0.000 0.500 0.250
As 0.000 0.500 0.750
As 0.500 0.000 0.250
As 0.500 0.000 0.750

**Relative energy among the computed polymorphs**: 0.329 eV/f.u.
**DFT total energy**: -3.4423 eV/atom
**Space group**: I4/mmm (139)
**Fermi-level density of states**: 0.7 states/eV/f.u.
**Formation energy (no corrections)**: 0.321 eV per atom